! Sm2Cu3AgGe4 (PBE, optimized geometry); values from VASP
! Crystal system   tetragonal
! Magnetization   0.000 μB per atom
! ΔE_f   -0.46 eV/atom
! DFT total energy   -4.763 eV/atom
&SYSTEM
  ibrav = 0, nat = 10, ntyp = 4
/
ATOMIC_SPECIES
Ge 72.64 Ge.upf
Sm 150.36 Sm.upf
Ag 107.87 Ag.upf
Cu 63.55 Cu.upf
CELL_PARAMETERS angstrom
4.2389 0.0000 0.0000
0.0000 4.2389 0.0000
0.0000 0.0000 10.2194
ATOMIC_POSITIONS crystal
Ge 0.0000 0.0000 0.0000
Sm 0.0000 0.5000 0.7565
Ge 0.0000 0.5000 0.3578
Ag 0.5000 0.5000 0.5000
Sm 0.5000 0.0000 0.2435
Cu 0.5000 0.0000 0.8741
Ge 0.5000 0.0000 0.6422
Cu 0.0000 0.5000 0.1259
Cu 0.0000 0.0000 0.5000
Ge 0.5000 0.5000 0.0000